Ti5AlGa6: optimized geometry, PBE-GGA.

## Properties
- Formation energy: -0.2706 eV per atom
- ρ: 5.73 g/cm³

Unit cell a=9.054 b=8.595 c=5.167 alpha=90.00 beta=99.35 gamma=90.00
Space group C2/m (No. 12)
Symmetry-distinct sites (fractional):
Ti 0.000 0.000 0.000 (multiplicity 2)
Ti 0.000 0.164 0.500 (multiplicity 4)
Ti 0.000 0.339 0.000 (multiplicity 4)
Al 0.000 0.500 0.500 (multiplicity 2)
Ga 0.248 0.000 0.754 (multiplicity 4)
Ga 0.249 0.171 0.250 (multiplicity 8)